DFT (GGA-PBEsol) results for a relaxed structure of Li3TlCd.

For the raw total energy, the calculation gives -1.81 eV/atom. The size of the total moment comes out at 0.000 μB/atom.

Cell lengths 4.9509, 4.9509, 4.9509 Å; angles 90.00, 90.00, 90.00 degrees
Sites, in units of the cell vectors:
Li (0.0000, 0.0000, 0.5000)
Li (0.0000, 0.5000, 0.0000)
Li (0.5000, 0.0000, 0.0000)
Tl (0.5000, 0.5000, 0.5000)
Cd (0.0000, 0.0000, 0.0000)